# PBE YHo2Cu4, relaxed
# **Density of states at the Fermi level**: 0.82 states/eV/atom
# **Energy**: -32.12 eV/cell
# **SG**: I4/mmm
data_YHo2Cu4
_chemical_formula_sum 'Y1 Ho2 Cu4'
_symmetry_space_group_name_H-M 'P 1'
_symmetry_Int_Tables_number 1
_symmetry_space_group_name_Hall 'P 1'
_cell_length_a 5.099
_cell_length_b 5.099
_cell_length_c 6.750
_cell_angle_alpha 112.19
_cell_angle_beta 112.19
_cell_angle_gamma 90.00
loop_
_atom_site_label
_atom_site_fract_x
_atom_site_fract_y
_atom_site_fract_z
Y1 0.000 0.000 0.000
Ho1 0.712 0.712 0.424
Ho2 0.288 0.288 0.576
Cu1 0.379 0.879 0.759
Cu2 0.879 0.379 0.759
Cu3 0.621 0.121 0.241
Cu4 0.121 0.621 0.241

***

# PBE Li5Si4, relaxed
# **Density of states at the Fermi level**: 0.24 states/eV/atom
# **SG**: I4/mmm
# **E_form (uncorrected)**: -6.9 kJ per mole of atoms
data_Li5Si4
_chemical_formula_sum 'Li5 Si4'
_symmetry_space_group_name_H-M 'P 1'
_symmetry_Int_Tables_number 1
_symmetry_space_group_name_Hall 'P 1'
_cell_length_a 6.082
_cell_length_b 6.082
_cell_length_c 6.082
_cell_angle_alpha 96.76
_cell_angle_beta 96.76
_cell_angle_gamma 139.87
loop_
_atom_site_label
_atom_site_fract_x
_atom_site_fract_y
_atom_site_fract_z
Li1 0.000 0.000 0.000
Li2 0.324 0.676 0.000
Li3 0.676 0.324 0.000
Li4 0.676 0.676 0.351
Li5 0.324 0.324 0.649
Si1 0.350 0.000 0.350
Si2 0.650 0.000 0.650
Si3 0.000 0.650 0.650
Si4 0.000 0.350 0.350

***

# PBE NpGa2O6, relaxed
# **Density of states at the Fermi level**: 0.25 states/eV/atom
# **SG**: P4_2/mnm
# **E_form (uncorrected)**: -209.4 kJ per mole of atoms
data_NpGa2O6
_chemical_formula_sum 'Np2 Ga4 O12'
_symmetry_space_group_name_H-M 'P 1'
_symmetry_Int_Tables_number 1
_symmetry_space_group_name_Hall 'P 1'
_cell_length_a 4.776
_cell_length_b 4.776
_cell_length_c 9.263
_cell_angle_alpha 90.00
_cell_angle_beta 90.00
_cell_angle_gamma 90.00
loop_
_atom_site_label
_atom_site_fract_x
_atom_site_fract_y
_atom_site_fract_z
Np1 0.500 0.500 0.000
Np2 0.000 0.000 0.500
Ga1 0.500 0.500 0.335
Ga2 0.500 0.500 0.665
Ga3 0.000 0.000 0.165
Ga4 0.000 0.000 0.835
O1 0.698 0.698 0.171
O2 0.698 0.698 0.829
O3 0.688 0.688 0.500
O4 0.812 0.188 0.000
O5 0.802 0.198 0.329
O6 0.802 0.198 0.671
O7 0.198 0.802 0.329
O8 0.198 0.802 0.671
O9 0.188 0.812 0.000
O10 0.312 0.312 0.500
O11 0.302 0.302 0.171
O12 0.302 0.302 0.829

***

# PBE NaCa3Rh, relaxed
# **Density of states at the Fermi level**: 0.65 states/eV/atom
# **SG**: P1
# **Energy relative to the lowest polymorph listed for this composition**: 1 meV/atom
data_NaCa3Rh
_chemical_formula_sum 'Na2 Ca6 Rh2'
_symmetry_space_group_name_H-M 'P 1'
_symmetry_Int_Tables_number 1
_symmetry_space_group_name_Hall 'P 1'
_cell_length_a 6.395
_cell_length_b 10.008
_cell_length_c 6.043
_cell_angle_alpha 94.85
_cell_angle_beta 121.81
_cell_angle_gamma 89.65
loop_
_atom_site_label
_atom_site_fract_x
_atom_site_fract_y
_atom_site_fract_z
Na1 0.415 0.081 0.555
Na2 0.021 0.964 0.769
Ca1 0.128 0.311 0.983
Ca2 0.664 0.772 0.063
Ca3 0.460 0.440 0.649
Ca4 0.302 0.733 0.341
Ca5 0.970 0.604 0.674
Ca6 0.766 0.272 0.261
Rh1 0.491 0.522 0.162
Rh2 0.939 0.522 0.162

***

# PBE Nd5YBi4, relaxed
# **Density of states at the Fermi level**: 0.72 states/eV/atom
# **Energy**: -51.46 eV/cell
# **SG**: C2/m
data_Nd5YBi4
_chemical_formula_sum 'Nd5 Y1 Bi4'
_symmetry_space_group_name_H-M 'P 1'
_symmetry_Int_Tables_number 1
_symmetry_space_group_name_Hall 'P 1'
_cell_length_a 4.496
_cell_length_b 8.777
_cell_length_c 10.011
_cell_angle_alpha 105.28
_cell_angle_beta 102.98
_cell_angle_gamma 90.00
loop_
_atom_site_label
_atom_site_fract_x
_atom_site_fract_y
_atom_site_fract_z
Nd1 0.823 0.648 0.645
Nd2 0.836 0.179 0.672
Nd3 0.164 0.821 0.328
Nd4 0.500 0.500 0.000
Nd5 0.177 0.352 0.355
Y1 0.500 0.000 0.000
Bi1 0.333 0.915 0.665
Bi2 0.992 0.749 0.985
Bi3 0.667 0.085 0.335
Bi4 0.008 0.251 0.015

***

# PBE Y7Tl4O, relaxed
# **Density of states at the Fermi level**: 0.86 states/eV/atom
# **SG**: C2/m
# **E_form (uncorrected)**: -56.6 kJ per mole of atoms
data_Y7Tl4O
_chemical_formula_sum 'Y7 Tl4 O1'
_symmetry_space_group_name_H-M 'P 1'
_symmetry_Int_Tables_number 1
_symmetry_space_group_name_Hall 'P 1'
_cell_length_a 5.002
_cell_length_b 8.980
_cell_length_c 8.663
_cell_angle_alpha 77.16
_cell_angle_beta 73.22
_cell_angle_gamma 73.83
loop_
_atom_site_label
_atom_site_fract_x
_atom_site_fract_y
_atom_site_fract_z
Y1 0.788 0.850 0.574
Y2 0.212 0.150 0.426
Y3 0.060 0.755 0.124
Y4 0.940 0.245 0.876
Y5 0.371 0.548 0.710
Y6 0.500 0.000 0.000
Y7 0.629 0.452 0.290
Tl1 0.583 0.205 0.630
Tl2 0.417 0.795 0.370
Tl3 0.724 0.640 0.913
Tl4 0.276 0.360 0.087
O1 0.000 0.000 0.000

***

# PBE Dy3Lu, relaxed
# **Density of states at the Fermi level**: 1.37 states/eV/atom
# **SG**: I4/mmm
# **Energy relative to the lowest polymorph listed for this composition**: 17 meV/atom
data_Dy3Lu
_chemical_formula_sum 'Dy3 Lu1'
_symmetry_space_group_name_H-M 'P 1'
_symmetry_Int_Tables_number 1
_symmetry_space_group_name_Hall 'P 1'
_cell_length_a 6.084
_cell_length_b 6.084
_cell_length_c 6.084
_cell_angle_alpha 131.83
_cell_angle_beta 131.83
_cell_angle_gamma 70.49
loop_
_atom_site_label
_atom_site_fract_x
_atom_site_fract_y
_atom_site_fract_z
Lu1 0.000 0.000 0.000
Dy1 0.750 0.250 0.500
Dy2 0.250 0.750 0.500
Dy3 0.500 0.500 0.000

***

# PBE PrPuP2, relaxed
# **Density of states at the Fermi level**: 2.40 states/eV/atom
# **SG**: R-3m
# **Energy relative to the lowest polymorph listed for this composition**: 0 meV/atom
data_PrPuP2
_chemical_formula_sum 'Pr1 Pu1 P2'
_symmetry_space_group_name_H-M 'P 1'
_symmetry_Int_Tables_number 1
_symmetry_space_group_name_Hall 'P 1'
_cell_length_a 4.101
_cell_length_b 4.101
_cell_length_c 7.073
_cell_angle_alpha 73.15
_cell_angle_beta 73.15
_cell_angle_gamma 60.00
loop_
_atom_site_label
_atom_site_fract_x
_atom_site_fract_y
_atom_site_fract_z
Pr1 0.500 0.500 0.500
P1 0.256 0.256 0.231
P2 0.744 0.744 0.769
Pu1 0.000 0.000 0.000

***

# PBE Y2MgIn, relaxed
# **Density of states at the Fermi level**: 0.83 states/eV/atom
# **Energy**: -17.86 eV/cell
# **SG**: R-3m
data_Y2MgIn
_chemical_formula_sum 'Y2 Mg1 In1'
_symmetry_space_group_name_H-M 'P 1'
_symmetry_Int_Tables_number 1
_symmetry_space_group_name_Hall 'P 1'
_cell_length_a 10.473
_cell_length_b 10.473
_cell_length_c 10.473
_cell_angle_alpha 19.86
_cell_angle_beta 19.86
_cell_angle_gamma 19.86
loop_
_atom_site_label
_atom_site_fract_x
_atom_site_fract_y
_atom_site_fract_z
In1 0.250 0.250 0.250
Mg1 0.750 0.750 0.750
Y1 0.998 0.998 0.998
Y2 0.502 0.502 0.502

***

# PBE SrBe2Ru2, relaxed
# **Density of states at the Fermi level**: 0.63 states/eV/atom
# **SG**: I4/mmm
# **Energy relative to the lowest polymorph listed for this composition**: 0 meV/atom
data_SrBe2Ru2
_chemical_formula_sum 'Sr1 Be2 Ru2'
_symmetry_space_group_name_H-M 'P 1'
_symmetry_Int_Tables_number 1
_symmetry_space_group_name_Hall 'P 1'
_cell_length_a 4.232
_cell_length_b 4.232
_cell_length_c 5.418
_cell_angle_alpha 67.01
_cell_angle_beta 67.01
_cell_angle_gamma 90.00
loop_
_atom_site_label
_atom_site_fract_x
_atom_site_fract_y
_atom_site_fract_z
Ru1 0.363 0.363 0.274
Ru2 0.637 0.637 0.726
Be1 0.750 0.250 0.500
Be2 0.250 0.750 0.500
Sr1 0.000 0.000 0.000

***

# PBE Tb4Er6Mg, relaxed
# **Density of states at the Fermi level**: 1.14 states/eV/atom
# **Energy**: -44.40 eV/cell
# **SG**: I-42m
data_Tb4Er6Mg
_chemical_formula_sum 'Tb4 Er6 Mg1'
_symmetry_space_group_name_H-M 'P 1'
_symmetry_Int_Tables_number 1
_symmetry_space_group_name_Hall 'P 1'
_cell_length_a 9.617
_cell_length_b 9.617
_cell_length_c 9.617
_cell_angle_alpha 56.61
_cell_angle_beta 140.82
_cell_angle_gamma 140.82
loop_
_atom_site_label
_atom_site_fract_x
_atom_site_fract_y
_atom_site_fract_z
Tb1 0.000 0.645 0.012
Tb2 0.367 0.355 0.355
Tb3 0.000 0.012 0.645
Tb4 0.633 0.988 0.988
Er1 0.000 0.807 0.457
Er2 0.000 0.457 0.807
Er3 0.350 0.543 0.543
Er4 0.500 0.500 0.000
Er5 0.650 0.193 0.193
Er6 0.500 0.000 0.500
Mg1 0.000 0.000 0.000

***

# PBE KTe2Rh, relaxed
# **Density of states at the Fermi level**: 0.31 states/eV/atom
# **SG**: Pmmm
# **E_form (uncorrected)**: -37.6 kJ per mole of atoms
data_KTe2Rh
_chemical_formula_sum 'K1 Te2 Rh1'
_symmetry_space_group_name_H-M 'P 1'
_symmetry_Int_Tables_number 1
_symmetry_space_group_name_Hall 'P 1'
_cell_length_a 4.049
_cell_length_b 3.301
_cell_length_c 8.230
_cell_angle_alpha 89.97
_cell_angle_beta 90.00
_cell_angle_gamma 90.00
loop_
_atom_site_label
_atom_site_fract_x
_atom_site_fract_y
_atom_site_fract_z
K1 0.500 0.250 0.250
Rh1 0.500 0.750 0.750
Te1 0.000 0.751 0.956
Te2 0.000 0.749 0.544

***

> What is the formula in the twelfth record?

KTe2Rh

***

> What is the density of states at the Fermi level in the ninth record?

0.83 states/eV/atom

***

> The lowest density of states at the Fermi level belongs to which entry?

Li5Si4